Pu2Pa8Al | PBE | relaxed

Computed properties:
ΔE_f in eV per atom: 0.238
Space group: No. 12

Lattice parameters (Å, degrees): 4.9829 7.7313 7.7313 68.23 83.96 83.96
Sites, in units of the cell vectors:
Pu (0.8024, 0.2138, 0.2138)
Pu (0.1976, 0.7862, 0.7862)
Pa (0.2073, 0.1276, 0.5863)
Pa (0.2073, 0.5863, 0.1276)
Pa (0.7927, 0.8724, 0.4137)
Pa (0.2531, 0.5883, 0.5883)
Pa (0.7927, 0.4137, 0.8724)
Pa (0.3323, 0.1600, 0.1600)
Pa (0.6677, 0.8400, 0.8400)
Pa (0.7469, 0.4117, 0.4117)
Al (0.0000, 0.0000, 0.0000)